No. 1
Entry from Alexandria via LeMat-Bulk: a relaxed NaCa2ScCl8 crystal (PBE).

Cell lengths 6.2831, 8.2872, 6.3700 Å; angles 90.00, 90.26, 90.00 degrees
Closest atoms and distances in Å follow each position.
Space group P2/m (No. 10)
Asymmetric unit:
Na  0.0000  0.0000  0.0000  6 Cl 2.72-2.89
Ca  0.5000  0.2460  0.5000  6 Cl 2.68-2.83
Sc  0.0000  0.5000  0.0000  6 Cl 2.49-2.57
Cl  0.2010  0.2814  0.8191  1 Sc 2.49, 1 Ca 2.79
Cl  0.2775  0.5000  0.2981  1 Sc 2.57, 2 Ca 2.83
Cl  0.2939  0.0000  0.3150  2 Ca 2.68, 1 Na 2.72

The formation energy from raw total energies comes out at -2531 kJ/mol of formula units. The value obtained for the magnetic moment is 0.0 μB per formula unit. As for the volume: 27.64 Å³ per atom. As for the density of states at the Fermi level: 0.000 states/eV per atom. Its crystal system is monoclinic.

***

No. 2
Entry from Alexandria via LeMat-Bulk: a relaxed Ba3CuOs2O9 crystal (PBE).

Cell lengths 5.7804, 5.7804, 7.1411 Å; angles 90.00, 90.00, 120.00 degrees
Closest atoms and distances in Å follow each position.
Space group P-3m1 (No. 164)
Asymmetric unit:
Ba  0.0000  0.0000  0.0000  12 O 2.85-2.89
Ba  0.3333  0.6667  0.6528  12 O 2.89-2.99
Cu  0.0000  0.0000  0.5000  6 O 2.20
Os  0.3333  0.6667  0.1602  6 O 1.93-2.02
O  0.0000  0.5000  0.0000  2 Os 2.02
O  0.1752  0.3503  0.3143  1 Os 1.93

The formation energy from raw total energies comes out at -2481 kJ/mol of formula units. The value obtained for the magnetic moment is 0.0 μB per formula unit. As for the volume: 13.78 Å³ per atom. As for the density of states at the Fermi level: 0.742 states/eV per atom. Its crystal system is trigonal.

***

No. 3
Entry from Alexandria via LeMat-Bulk: a relaxed DyHo3Sc2S6 crystal (PBE).

Cell lengths 6.6153, 11.4950, 6.6298 Å; angles 90.00, 109.46, 90.00 degrees
Closest atoms and distances in Å follow each position.
Space group C2/m (No. 12)
Asymmetric unit:
Dy  0.0000  0.0000  0.0000  6 S 2.72-2.73
Ho  0.0000  0.1629  0.5000  6 S 2.71-2.76
Ho  0.0000  0.5000  0.5000  6 S 2.69-2.76
Sc  0.0000  0.3341  0.0000  6 S 2.64-2.66
S  0.2370  0.5000  0.2391  2 Sc 2.64, 3 Ho 2.69-2.74, 1 Dy 2.72
S  0.2480  0.3287  0.7576  2 Sc 2.65-2.66, 3 Ho 2.71-2.76, 1 Dy 2.73

The formation energy from raw total energies comes out at -2240 kJ/mol of formula units. The value obtained for the magnetic moment is 0.0 μB per formula unit. As for the volume: 19.81 Å³ per atom. As for the density of states at the Fermi level: 0.446 states/eV per atom. Its crystal system is monoclinic.

***

No. 4
Entry from Alexandria via LeMat-Bulk: a relaxed LaHoIr2 crystal (PBE).

Cell lengths 3.4263, 3.4263, 7.3048 Å; angles 90.00, 90.00, 90.00 degrees
Closest atoms and distances in Å follow each position.
Space group P4/mmm (No. 123)
Asymmetric unit:
La  0.0000  0.0000  0.0000  8 Ir 3.12, 4 La 3.43
Ho  0.0000  0.0000  0.5000  8 Ir 2.95
Ir  0.5000  0.5000  0.2693  4 Ho 2.95, 4 La 3.12

The value obtained for the magnetic moment is 0.0 μB per formula unit. As for the formation energy: -2.7 eV per formula unit. As for the volume: 21.44 Å³ per atom. As for the density of states at the Fermi level: 0.801 states/eV per atom. As for the energy above the lowest structure with this stoichiometry: 0.0000 eV per atom. Its crystal system is tetragonal.

***

No. 5
Entry from Alexandria via LeMat-Bulk: a relaxed LuTlS2 crystal (PBE).

Cell lengths 3.9457, 3.9457, 22.5964 Å; angles 90.00, 90.00, 120.00 degrees
Closest atoms and distances in Å follow each position.
Space group R-3m (No. 166, hexagonal axes)
Asymmetric unit:
Lu  0.0000  0.0000  0.0000  6 S 2.70
Tl  0.0000  0.0000  0.5000  6 S 3.24
S  0.0000  0.0000  0.2688  3 Lu 2.70

The formation energy from raw total energies comes out at -571 kJ/mol of formula units. The value obtained for the magnetic moment is 0.0 μB per formula unit. As for the volume: 25.39 Å³ per atom. Its crystal system is trigonal.

***

No. 6
Entry from Alexandria via LeMat-Bulk: a relaxed Sm3Ho2Tm6Sc crystal (PBE).

Cell lengths 6.0887, 10.5368, 11.6057 Å; angles 90.00, 100.04, 90.00 degrees
Closest atoms and distances in Å follow each position.
Space group C2/m (No. 12)
Asymmetric unit:
Sm  0.0000  0.0000  0.0000  6 Sm 3.51, 6 Tm 3.55
Sm  0.0000  0.3335  0.0000  6 Sm 3.51-3.52, 6 Tm 3.54-3.56
Ho  0.0000  0.1665  0.5000  6 Tm 3.46, 3 Ho 3.51-3.52, 3 Sc 3.51
Tm  0.2469  0.3345  0.7451  1 Sc 3.45, 2 Ho 3.46, 6 Tm 3.49-3.53, 3 Sm 3.54-3.56
Tm  0.2503  0.0000  0.7452  1 Sc 3.45, 2 Ho 3.46, 6 Tm 3.49-3.53, 3 Sm 3.54-3.55
Sc  0.0000  0.5000  0.5000  6 Tm 3.45, 6 Ho 3.51

The value obtained for the magnetic moment is 0.0 μB per formula unit. As for the formation energy: 0.4 eV per formula unit. As for the volume: 30.55 Å³ per atom. As for the density of states at the Fermi level: 1.412 states/eV per atom. Its crystal system is monoclinic.

***

No. 7
Entry from Alexandria via LeMat-Bulk: a relaxed Ce2SmGd crystal (PBE).

Cell lengths 3.4767, 3.4767, 10.2860 Å; angles 90.00, 90.00, 90.00 degrees
Closest atoms and distances in Å follow each position.
Space group P4/mmm (No. 123)
Asymmetric unit:
Ce  0.0000  0.0000  0.2502  4 Ce 3.48, 4 Gd 3.56, 4 Sm 3.56
Sm  0.5000  0.5000  0.0000  4 Sm 3.48, 8 Ce 3.56
Gd  0.5000  0.5000  0.5000  4 Gd 3.48, 8 Ce 3.56

The value obtained for the magnetic moment is 8.9 μB per formula unit. As for the formation energy: 0.5 eV per formula unit. As for the volume: 31.08 Å³ per atom. As for the density of states at the Fermi level: 2.857 states/eV per atom. As for the energy above the lowest structure with this stoichiometry: 0.0078 eV per atom. Its crystal system is tetragonal.

***

No. 8
Entry from Alexandria via LeMat-Bulk: a relaxed BaNiW crystal (PBE).

Cell lengths 4.2536, 4.2571, 10.8095 Å; angles 89.76, 89.90, 60.05 degrees
Closest atoms and distances in Å follow each position.
Space group P1 (No. 1)
Asymmetric unit:
Ba  0.0000  0.0000  0.0000  3 Ni 3.13-3.14, 1 W 3.30
Ba  0.3326  0.3353  0.3923  3 W 3.33, 1 Ni 3.62
Ni  0.3324  0.3331  0.7272  3 W 2.48, 3 Ni 2.65-2.66
Ni  0.6650  0.6657  0.8202  1 W 2.38, 3 Ni 2.65-2.66
W  0.6660  0.6671  0.5997  1 Ni 2.38, 3 W 2.66
W  0.9989  0.9998  0.6945  3 Ni 2.48, 3 W 2.66

The value obtained for the magnetic moment is 0.0 μB per formula unit. As for the formation energy: 1.4 eV per formula unit. As for the volume: 28.27 Å³ per atom. As for the density of states at the Fermi level: 1.683 states/eV per atom. As for the energy above the lowest structure with this stoichiometry: 0.1388 eV per atom. Its crystal system is triclinic.

***

No. 9
Entry from Alexandria via LeMat-Bulk: a relaxed RbPb3Se3 crystal (PBE).

Cell lengths 9.1421, 9.1421, 22.2499 Å; angles 90.00, 90.00, 120.00 degrees
Closest atoms and distances in Å follow each position.
Space group R-3 (No. 148, hexagonal axes)
Asymmetric unit:
Rb  0.0000  0.0000  0.1697  3 Se 3.43, 3 Pb 3.81
Pb  0.0164  0.3101  0.0519  4 Se 2.84-3.18
Se  0.0167  0.3791  0.9275  4 Pb 2.84-3.18

The formation energy from raw total energies comes out at -321 kJ/mol of formula units. The value obtained for the magnetic moment is 0.0 μB per formula unit. As for the volume: 38.34 Å³ per atom. As for the density of states at the Fermi level: 0.081 states/eV per atom. As for the energy above the lowest structure with this stoichiometry: 0.0000 eV per atom. Its crystal system is trigonal.

***

No. 10
Entry from Alexandria via LeMat-Bulk: a relaxed CaY2Mo crystal (PBE).

Cell lengths 7.4402, 7.4402, 7.4402 Å; angles 90.00, 90.00, 90.00 degrees
Closest atoms and distances in Å follow each position.
Space group Fm-3m (No. 225)
Asymmetric unit:
Ca  0.0000  0.0000  0.0000  8 Y 3.22
Y  0.2500  0.2500  0.2500  4 Mo 3.22, 4 Ca 3.22
Mo  0.0000  0.0000  0.5000  8 Y 3.22

The value obtained for the magnetic moment is 0.0 μB per formula unit. As for the formation energy: 1.8 eV per formula unit. As for the volume: 25.74 Å³ per atom. As for the density of states at the Fermi level: 1.540 states/eV per atom. As for the energy above the lowest structure with this stoichiometry: 0.1931 eV per atom. Its crystal system is cubic.

***

What is the volume in the first record? 27.64 Å³ per atom

***

Number 4 is which compound? LaHoIr2

***

The highest magnetic moment belongs to which entry? Ce2SmGd